{
  "formula": "TaCoBr2",
  "functional": "PBE",
  "state": "optimized geometry",
  "dos_ef_per_ev_atom": 1.551,
  "spacegroup": "No. 47",
  "e_above_lowest_polymorph_ev_per_atom": 1.092,
  "raw_formation_energy_ev_per_atom": 0.8177,
  "lattice": [[3.0849, 0.0000, 0.0000], [0.0000, 4.3410, 0.0000], [0.0000, 0.0000, 5.6040]],
  "species": ["Ta", "Co", "Br", "Br"],
  "fractional_positions": [[0.0000, 0.0000, 0.0000], [0.5000, 0.0000, 0.5000], [0.0000, 0.5000, 0.5000], [0.5000, 0.5000, 0.0000]]
}